## LiLaSn (GGA-PBE)

Data for a relaxed structure of LiLaSn.

Properties
DFT formation energy in kcal/mol of atoms: -15.6
Space group: P6_3/mmc, No. 194

a = 4.832 Å, b = 4.832 Å, c = 7.992 Å
α = 90.00°, β = 90.00°, γ = 120.00°
Fractional coordinates of all 6 atoms:
La1 0.000 0.500 0.000
La2 0.000 0.500 0.500
Li1 0.667 0.833 0.250
Li2 0.333 0.167 0.750
Sn1 0.667 0.833 0.750
Sn2 0.333 0.167 0.250

=====

## LiLa5Sn3 (GGA-PBE)

Data for a relaxed structure of LiLa5Sn3.

Properties
DFT formation energy in kcal/mol of atoms: -14.0
Space group: P6_3/mcm, No. 193

a = 6.789 Å, b = 9.805 Å, c = 9.805 Å
α = 120.00°, β = 90.00°, γ = 90.00°
Site moments in Bohr magnetons follow the coordinates.
Fractional coordinates of all 18 atoms:
La1 0.000 0.333 0.667  0.31
La2 0.500 0.667 0.333  0.31
La3 0.500 0.333 0.667  0.31
La4 0.000 0.667 0.333  0.31
La5 0.250 0.310 0.310  0.12
La6 0.750 0.000 0.310  0.12
La7 0.750 0.310 0.000  0.12
La8 0.250 0.690 0.000  0.12
La9 0.750 0.690 0.690  0.12
La10 0.250 0.000 0.690  0.12
Sn1 0.250 0.000 0.350  -0.02
Sn2 0.250 0.350 0.000  -0.02
Sn3 0.750 0.350 0.350  -0.02
Sn4 0.750 0.000 0.650  -0.02
Sn5 0.750 0.650 0.000  -0.02
Sn6 0.250 0.650 0.650  -0.02
Li1 0.000 0.000 0.000  0.01
Li2 0.500 0.000 0.000  0.01